SrS2N2: relaxed, PBE-GGA.

```
5
Lattice="4.178 0.000 0.000 0.000 4.178 0.000 0.000 0.000 4.427" Properties=species:S:1:pos:R:3 pbc="T T T"
Sr 0.000 0.000 0.000
S 0.000 2.089 2.214
S 2.089 0.000 2.214
N 2.089 2.089 0.000
N 2.089 2.089 2.214
```

Output
E_tot = -4.479 eV per atom
E above lowest polymorph = 140 meV/atom
D(E_F) = 1.46 states/eV/f.u.
SG = P4/mmm, No. 123
Crystal system = tetragonal
Formation energy from raw total energies = 838 meV/atom